Entry 1:
InGa2Te6Au: relaxed, PBE.

a = 10.417 Å, b = 10.417 Å, c = 7.649 Å
α = 110.61°, β = 110.61°, γ = 90.49°
Element x y z (fractional)
In (0.149, 0.851, 0.750)
In (0.851, 0.149, 0.250)
Ga (0.225, 0.413, 0.349)
Ga (0.413, 0.225, 0.849)
Ga (0.587, 0.775, 0.151)
Ga (0.775, 0.587, 0.651)
Te (0.067, 0.177, 0.111)
Te (0.088, 0.628, 0.368)
Te (0.177, 0.067, 0.611)
Te (0.339, 0.448, 0.089)
Te (0.372, 0.912, 0.132)
Te (0.448, 0.339, 0.589)
Te (0.552, 0.661, 0.411)
Te (0.628, 0.088, 0.868)
Te (0.661, 0.552, 0.911)
Te (0.823, 0.933, 0.389)
Te (0.912, 0.372, 0.632)
Te (0.933, 0.823, 0.889)
Au (0.225, 0.775, 0.250)
Au (0.775, 0.225, 0.750)

## Properties
mass density: 5.62 g/cm3
uncorrected formation energy: -0.15 eV/atom

***

Entry 2:
Tl2InGa2Au7: relaxed, PBE.

a = 4.202 Å, b = 4.202 Å, c = 15.236 Å
α = 93.90°, β = 93.90°, γ = 89.42°
Element x y z (fractional)
Tl (0.060, 0.060, 0.383)
Tl (0.940, 0.940, 0.617)
In (0.000, 0.000, 0.000)
Ga (0.438, 0.438, 0.749)
Ga (0.562, 0.562, 0.251)
Au (0.035, 0.536, 0.146)
Au (0.440, 0.440, 0.583)
Au (0.464, 0.965, 0.854)
Au (0.500, 0.500, 0.000)
Au (0.536, 0.035, 0.146)
Au (0.560, 0.560, 0.417)
Au (0.965, 0.464, 0.854)

## Properties
mass density: 12.66 g/cm3
formation energy from the elements: -0.092 eV/atom

***

Entry 3:
Tl2In6GaAu: relaxed, PBE.

a = 8.355 Å, b = 9.540 Å, c = 6.943 Å
α = 90.00°, β = 90.00°, γ = 90.00°
Element x y z (fractional)
Tl (0.250, 0.042, 0.176)
Tl (0.250, 0.458, 0.176)
Tl (0.750, 0.542, 0.824)
Tl (0.750, 0.958, 0.824)
In (0.042, 0.250, 0.455)
In (0.045, 0.750, 0.998)
In (0.250, 0.544, 0.698)
In (0.250, 0.956, 0.698)
In (0.455, 0.750, 0.998)
In (0.458, 0.250, 0.455)
In (0.542, 0.750, 0.545)
In (0.545, 0.250, 0.002)
In (0.750, 0.044, 0.302)
In (0.750, 0.456, 0.302)
In (0.955, 0.250, 0.002)
In (0.958, 0.750, 0.545)
Ga (0.250, 0.750, 0.346)
Ga (0.750, 0.250, 0.654)
Au (0.250, 0.250, 0.783)
Au (0.750, 0.750, 0.217)

## Properties
mass density: 8.19 g/cm3
formation energy from the elements: 0.024 eV/atom

***

Entry 4:
TmInGaAu: relaxed, PBE.

a = 6.966 Å, b = 6.966 Å, c = 6.966 Å
α = 90.00°, β = 90.00°, γ = 90.00°
Element x y z (fractional)
Tm (0.000, 0.000, 0.000)
Tm (0.000, 0.500, 0.500)
Tm (0.500, 0.000, 0.500)
Tm (0.500, 0.500, 0.000)
In (0.000, 0.000, 0.500)
In (0.000, 0.500, 0.000)
In (0.500, 0.000, 0.000)
In (0.500, 0.500, 0.500)
Ga (0.250, 0.250, 0.250)
Ga (0.250, 0.750, 0.750)
Ga (0.750, 0.250, 0.750)
Ga (0.750, 0.750, 0.250)
Au (0.250, 0.250, 0.750)
Au (0.250, 0.750, 0.250)
Au (0.750, 0.250, 0.250)
Au (0.750, 0.750, 0.750)

## Properties
mass density: 10.82 g/cm3
formation energy from the elements: -0.510 eV/atom

***

Entry 5:
Y2InGa3Au4: relaxed, PBE.

a = 4.323 Å, b = 4.323 Å, c = 11.197 Å
α = 90.00°, β = 90.00°, γ = 90.00°
Element x y z (fractional)
Y (0.000, 0.500, 0.234)
Y (0.500, 0.000, 0.766)
In (0.000, 0.000, 0.500)
Ga (0.000, 0.500, 0.870)
Ga (0.500, 0.000, 0.130)
Ga (0.500, 0.500, 0.500)
Au (0.000, 0.000, 0.000)
Au (0.000, 0.500, 0.650)
Au (0.500, 0.000, 0.350)
Au (0.500, 0.500, 0.000)

## Properties
mass density: 10.23 g/cm3
formation energy from the elements: -0.571 eV/atom

***

Entry 6:
GaIrAu: relaxed, PBE.

a = 4.358 Å, b = 4.358 Å, c = 5.829 Å
α = 90.00°, β = 90.00°, γ = 120.00°
Element x y z (fractional)
Ga (0.333, 0.667, 0.250)
Ga (0.667, 0.333, 0.750)
Ir (0.333, 0.667, 0.750)
Ir (0.667, 0.333, 0.250)
Au (0.000, 0.000, 0.000)
Au (0.000, 0.000, 0.500)

## Properties
excess energy over the best structure of this formula in the dataset: 6.0 meV/atom
mass density: 15.90 g/cm3
formation energy from the elements: -0.066 eV/atom

***

Total energy for the records above, in order: -64.82, -37.57, -54.46, -62.22, -43.57, -30.73 eV/cell